1.
# Tl2FeIrW

A crystal of Tl2FeIrW relaxed with PBEsol (SCAN, the Alexandria database).

a b c (Å): 4.6852 5.0822 5.0822
angles (deg): 90.00 90.00 90.00
Site moments in Bohr magnetons follow the coordinates.
Positions (direct):
Tl 0.0000 0.5000 0.0000  0.02
Tl 0.0000 0.0000 0.5000  0.02
Fe 0.5000 0.0000 0.0000  3.38
Ir 0.0000 0.0000 0.0000  0.48
W 0.5000 0.5000 0.5000  3.25

Energy of formation = 813 kJ/mol of formula units

2.
# BaFe2Co

A crystal of BaFe2Co relaxed with PBEsol (SCAN, the Alexandria database).

a b c (Å): 3.0890 3.1067 7.2863
angles (deg): 90.00 90.00 90.00
Site moments in Bohr magnetons follow the coordinates.
Positions (direct):
Fe 0.0000 0.0000 0.6529  2.95
Fe 0.0000 0.0000 0.3471  2.95
Co 0.5000 0.5000 0.5000  1.86
Ba 0.5000 0.5000 0.0000  -0.17

Excess energy over the best structure of this formula in the dataset = 0 meV per atom
Energy of formation = 199 kJ/mol of formula units

3.
# LiTe2Se

A crystal of LiTe2Se relaxed with PBEsol (SCAN, the Alexandria database).

a b c (Å): 4.2640 4.2641 5.7457
angles (deg): 90.00 90.00 90.00
Positions (direct):
Te 0.0000 0.0000 0.1116
Te 0.5000 0.5000 0.1589
Se 0.5000 0.5000 0.6125
Li 0.0000 0.0000 0.6169

4.
# CsKCdS2

A crystal of CsKCdS2 relaxed with PBEsol (SCAN, the Alexandria database).

a b c (Å): 5.2712 5.2712 5.7290
angles (deg): 90.00 90.00 90.00
Positions (direct):
S 0.0000 0.5000 0.0000
S 0.5000 0.0000 0.0000
Cd 0.0000 0.0000 0.0000
K 0.5000 0.5000 0.5000
Cs 0.0000 0.0000 0.5000

5.
# TlBiRu3

A crystal of TlBiRu3 relaxed with PBEsol (SCAN, the Alexandria database).

a b c (Å): 4.9144 4.9144 4.9144
angles (deg): 90.00 90.00 90.00
Site moments in Bohr magnetons follow the coordinates.
Positions (direct):
Ru 0.5000 0.0000 0.0000  2.04
Ru 0.0000 0.0000 0.5000  2.04
Ru 0.0000 0.5000 0.0000  2.04
Bi 0.5000 0.5000 0.5000  -0.06
Tl 0.0000 0.0000 0.0000  -0.07

Energy of formation = 982 kJ/mol of formula units

6.
# NbSeI2N

A crystal of NbSeI2N relaxed with PBEsol (SCAN, the Alexandria database).

a b c (Å): 3.6188 5.7550 5.7550
angles (deg): 90.00 90.00 90.00
Site moments in Bohr magnetons follow the coordinates.
Positions (direct):
Nb 0.5000 0.5000 0.5000  2.69
Se 0.0000 0.0000 0.0000  0.01
I 0.0000 0.5000 0.0000  -0.06
I 0.0000 0.0000 0.5000  -0.06
N 0.5000 0.0000 0.0000  0.03

7.
# YAlAs2Se

A crystal of YAlAs2Se relaxed with PBEsol (SCAN, the Alexandria database).

a b c (Å): 5.3034 5.3541 5.3541
angles (deg): 90.00 90.00 90.00
Site moments in Bohr magnetons follow the coordinates.
Positions (direct):
Y 0.0000 0.0000 0.0000  0.00
As 0.0000 0.0000 0.5000  0.21
As 0.0000 0.5000 0.0000  0.21
Al 0.5000 0.5000 0.5000  0.02
Se 0.5000 0.0000 0.0000  0.17

8.
# RbCuAs2Os

A crystal of RbCuAs2Os relaxed with PBEsol (SCAN, the Alexandria database).

a b c (Å): 4.6277 4.6277 4.9737
angles (deg): 90.00 90.00 90.00
Site moments in Bohr magnetons follow the coordinates.
Positions (direct):
As 0.0000 0.5000 0.0000  -0.08
As 0.5000 0.0000 0.0000  -0.08
Cu 0.0000 0.0000 0.0000  -0.02
Rb 0.0000 0.0000 0.5000  0.01
Os 0.5000 0.5000 0.5000  1.72

Energy of formation = 718 kJ/mol of formula units

Number 1: raw total energy -59.04 eV/atom, N(E_F) 0.89 states/eV per atom. Number 2: raw total energy -22.76 eV/atom, N(E_F) 1.04 states/eV per atom. Number 3: raw total energy -24.71 eV/atom, N(E_F) 0.21 states/eV per atom. Number 4: raw total energy -19.58 eV/atom, N(E_F) 0.27 states/eV per atom. Number 5: raw total energy -49.05 eV/atom, N(E_F) 0.91 states/eV per atom. Number 6: raw total energy -26.02 eV/atom, N(E_F) 0.40 states/eV per atom. Number 7: raw total energy -18.94 eV/atom, N(E_F) 0.78 states/eV per atom. Number 8: raw total energy -28.15 eV/atom, N(E_F) 0.64 states/eV per atom.